Density functional theory data (PBE) for DyGa6Pd3 after structural relaxation.

Unit cell a=6.8849 b=6.9131 c=7.8460 alpha=110.85 beta=90.00 gamma=90.00
With the nearest neighbours (Å) after each atom.
Atoms (fractional coordinates):
Ga (0.5432, 0.9664, 0.8269)  4 Pd 2.59-2.67, 4 Ga 2.65-2.82
Ga (0.4568, 0.0336, 0.1731)  4 Pd 2.59-2.67, 4 Ga 2.65-2.82
Dy (0.5000, 0.5000, 0.5000)  4 Pd 2.98-3.19, 6 Ga 3.03-3.30
Ga (0.8082, 0.1081, 0.3695)  2 Pd 2.57-2.58, 4 Ga 2.68-2.82
Ga (0.1918, 0.8919, 0.6305)  2 Pd 2.57-2.58, 4 Ga 2.68-2.82
Pd (0.5000, 0.0000, 0.5000)  8 Ga 2.58-2.84, 2 Pd 2.89
Pd (0.6718, 0.3001, 0.0970)  6 Ga 2.57-2.86
Pd (0.3282, 0.6999, 0.9030)  6 Ga 2.57-2.86
Ga (0.3082, 0.3919, 0.1305)  2 Pd 2.57-2.58, 4 Ga 2.68-2.82
Pd (0.8282, 0.8001, 0.5970)  6 Ga 2.57-2.86
Ga (0.6911, 0.7078, 0.2329)  4 Pd 2.64-2.86, 4 Ga 2.68-2.94
Ga (0.3089, 0.2922, 0.7671)  4 Pd 2.64-2.86, 4 Ga 2.68-2.94
Dy (0.0000, 0.0000, 0.0000)  4 Pd 2.98-3.19, 6 Ga 3.03-3.30
Ga (0.0432, 0.5336, 0.6731)  4 Pd 2.59-2.67, 4 Ga 2.65-2.82
Ga (0.6918, 0.6081, 0.8695)  2 Pd 2.57-2.58, 4 Ga 2.68-2.82
Ga (0.8089, 0.2078, 0.7329)  4 Pd 2.64-2.86, 4 Ga 2.68-2.94
Pd (0.1718, 0.1999, 0.4030)  6 Ga 2.57-2.86
Ga (0.9568, 0.4664, 0.3269)  4 Pd 2.59-2.67, 4 Ga 2.65-2.82
Pd (0.0000, 0.5000, 0.0000)  8 Ga 2.58-2.84, 2 Pd 2.89
Ga (0.1911, 0.7922, 0.2671)  4 Pd 2.64-2.86, 4 Ga 2.68-2.94

symmetry: P2_1/c, No. 14
VASP energy: -4.36 eV per atom
volume: 349.0 Å³/cell
crystal system: monoclinic